# 1
# PBE-GGA Si2Hg, relaxed
# DFT total energy = -3.060 eV per atom
# Size of the total moment = 0.000 μB/atom
# Energy relative to the elements, uncorrected = 0.656 eV per atom
# DOS at the Fermi energy = 5.6 states/eV per cell
data_Si2Hg
_chemical_formula_sum 'Si6 Hg3'
_symmetry_space_group_name_H-M 'P -6 2 m'
_symmetry_Int_Tables_number 189
_symmetry_space_group_name_Hall 'P -6 -2'
_cell_length_a 7.7628
_cell_length_b 7.7628
_cell_length_c 3.7545
_cell_angle_alpha 90.00
_cell_angle_beta 90.00
_cell_angle_gamma 120.00
loop_
_atom_site_label
_atom_site_fract_x
_atom_site_fract_y
_atom_site_fract_z
_atom_site_occupancy
Si1 0.0000 0.2826 0.0000 1
Si2 0.0000 0.4753 0.5000 1
Hg1 0.0000 0.0000 0.5000 1
Hg2 0.3333 0.6667 0.0000 1



# 2
# PBE-GGA Si2Hg, relaxed
# DFT total energy = -3.404 eV per atom
# Size of the total moment = 0.000 μB/atom
# Energy relative to the elements, uncorrected = 0.312 eV per atom
# DOS at the Fermi energy = 2.1 states/eV per cell
data_Si2Hg
_chemical_formula_sum 'Si4 Hg2'
_symmetry_space_group_name_H-M 'I m m m'
_symmetry_Int_Tables_number 71
_symmetry_space_group_name_Hall '-I 2 2'
_cell_length_a 3.195
_cell_length_b 3.477
_cell_length_c 11.753
_cell_angle_alpha 90.00
_cell_angle_beta 90.00
_cell_angle_gamma 90.00
loop_
_atom_site_label
_atom_site_fract_x
_atom_site_fract_y
_atom_site_fract_z
_atom_site_occupancy
Si1 0.000 0.000 0.216 1
Hg1 0.000 0.000 0.000 1